# 1
Density functional theory data (PBE) for Sr3UGa2O9 after structural relaxation.

Lattice parameters (Å, degrees): 5.6998 5.6998 7.1488 90.00 90.00 120.00
With the nearest neighbours (Å) after each atom.
Sites, in units of the cell vectors:
Sr  0.0000  0.0000  0.0000  12 O 2.85-2.87
Sr  0.3333  0.6667  0.7133  9 O 2.63-2.86
Sr  0.6667  0.3333  0.2867  9 O 2.63-2.86
U  0.0000  0.0000  0.5000  6 O 2.08
Ga  0.3333  0.6667  0.1521  6 O 1.97-2.05
Ga  0.6667  0.3333  0.8479  6 O 1.97-2.05
O  0.0000  0.5000  0.0000  2 Ga 1.97
O  0.1688  0.3376  0.3264  1 Ga 2.05, 1 U 2.08
O  0.1688  0.8312  0.3264  1 Ga 2.05, 1 U 2.08
O  0.3376  0.1688  0.6736  1 Ga 2.05, 1 U 2.08
O  0.5000  0.0000  0.0000  2 Ga 1.97
O  0.5000  0.5000  0.0000  2 Ga 1.97
O  0.6624  0.8312  0.3264  1 Ga 2.05, 1 U 2.08
O  0.8312  0.1688  0.6736  1 Ga 2.05, 1 U 2.08
O  0.8312  0.6624  0.6736  1 Ga 2.05, 1 U 2.08

## Properties
Calculated volume ... 13.41 Å³/atom
Crystal system ... trigonal
Magnetic moment ... 0.00 μB/cell
Space-group type ... P-3m1 (164)
ΔE_f (raw) ... -2650 meV/atom

***

# 2
Density functional theory data (PBE) for LiSeCl2 after structural relaxation.

Lattice parameters (Å, degrees): 4.9112 4.9112 3.3337 90.00 90.00 90.00
With the nearest neighbours (Å) after each atom.
Sites, in units of the cell vectors:
Li  0.0000  0.0000  0.0000  8 Cl 2.97
Se  0.5000  0.5000  0.0000  8 Cl 2.97
Cl  0.0000  0.5000  0.5000  4 Se 2.97, 4 Li 2.97
Cl  0.5000  0.0000  0.5000  4 Se 2.97, 4 Li 2.97

## Properties
Calculated volume ... 20.10 Å³/atom
Crystal system ... tetragonal
Magnetic moment ... 0.00 μB/cell
Space-group type ... P4/mmm (123)
Energy relative to the lowest polymorph listed for this composition ... 452 meV/atom
ΔE_f (raw) ... -348 meV/atom

***

# 3
Density functional theory data (PBE) for Pm2DyTl2Cd2 after structural relaxation.

Lattice parameters (Å, degrees): 9.6610 9.6610 9.6610 30.00 30.00 30.00
With the nearest neighbours (Å) after each atom.
Sites, in units of the cell vectors:
Pm  0.1263  0.1263  0.1263  3 Tl 3.23, 3 Cd 3.49, 1 Dy 3.49
Pm  0.8737  0.8737  0.8737  3 Tl 3.23, 3 Cd 3.49, 1 Dy 3.49
Dy  0.0000  0.0000  0.0000  6 Cd 3.27, 2 Pm 3.49, 6 Tl 3.54
Tl  0.2593  0.2593  0.2593  3 Cd 2.93, 3 Pm 3.23
Tl  0.7407  0.7407  0.7407  3 Cd 2.93, 3 Pm 3.23
Cd  0.3889  0.3889  0.3889  3 Tl 2.93, 3 Dy 3.27
Cd  0.6111  0.6111  0.6111  3 Tl 2.93, 3 Dy 3.27

## Properties
Calculated volume ... 28.52 Å³/atom
Crystal system ... trigonal
Magnetic moment ... 0.00 μB/cell
Formation enthalpy at 0 K ... -0.16 eV/atom
Space-group type ... R-3m (166)

***

# 4
Density functional theory data (PBE) for HoZnPt after structural relaxation.

Lattice parameters (Å, degrees): 5.0498 5.1814 5.1055 90.00 119.45 90.00
With the nearest neighbours (Å) after each atom.
Sites, in units of the cell vectors:
Ho  0.2364  0.2500  0.4730  5 Pt 2.86-2.99, 5 Zn 2.92-3.14
Ho  0.7636  0.7500  0.5270  5 Pt 2.86-2.99, 5 Zn 2.92-3.14
Zn  0.4349  0.7500  0.8712  2 Zn 2.83, 3 Pt 2.90-2.99, 5 Ho 2.92-3.14
Zn  0.5651  0.2500  0.1288  2 Zn 2.83, 3 Pt 2.90-2.99, 5 Ho 2.92-3.14
Pt  0.1009  0.7500  0.1995  5 Ho 2.86-2.99, 3 Zn 2.90-2.99, 2 Pt 3.14
Pt  0.8991  0.2500  0.8005  5 Ho 2.86-2.99, 3 Zn 2.90-2.99, 2 Pt 3.14

## Properties
Calculated volume ... 19.39 Å³/atom
Crystal system ... monoclinic
Magnetic moment ... 0.00 μB/cell
Formation enthalpy at 0 K ... -0.82 eV/atom
Space-group type ... P2_1/m (11)

***

# 5
Density functional theory data (PBE) for Y4NiAg3 after structural relaxation.

Lattice parameters (Å, degrees): 3.5684 3.5684 14.4855 90.00 90.00 90.00
With the nearest neighbours (Å) after each atom.
Sites, in units of the cell vectors:
Y  0.0000  0.0000  0.1120  4 Ni 3.00, 4 Ag 3.16, 1 Y 3.25
Y  0.0000  0.0000  0.3708  8 Ag 3.13-3.14
Y  0.0000  0.0000  0.6292  8 Ag 3.13-3.14
Y  0.0000  0.0000  0.8880  4 Ni 3.00, 4 Ag 3.16, 1 Y 3.25
Ni  0.5000  0.5000  0.0000  8 Y 3.00
Ag  0.5000  0.5000  0.2429  8 Y 3.13-3.16
Ag  0.5000  0.5000  0.5000  8 Y 3.14
Ag  0.5000  0.5000  0.7571  8 Y 3.13-3.16

## Properties
Calculated volume ... 23.06 Å³/atom
Crystal system ... tetragonal
Magnetic moment ... 0.00 μB/cell
Formation enthalpy at 0 K ... -0.34 eV/atom
Space-group type ... P4/mmm (123)

***

# 6
Density functional theory data (PBE) for Nd2Al2Ag3 after structural relaxation.

Lattice parameters (Å, degrees): 5.8939 5.8939 7.3150 113.63 113.63 42.94
With the nearest neighbours (Å) after each atom.
Sites, in units of the cell vectors:
Nd  0.1403  0.1403  0.2678  4 Al 3.17-3.23, 7 Ag 3.19-3.51
Nd  0.8597  0.8597  0.7322  4 Al 3.17-3.23, 7 Ag 3.19-3.51
Al  0.1426  0.1426  0.7107  5 Ag 2.72-2.78
Al  0.8574  0.8574  0.2893  5 Ag 2.72-2.78
Ag  0.3780  0.3780  0.0653  3 Al 2.76-2.78, 1 Ag 2.87
Ag  0.5000  0.5000  0.5000  4 Al 2.72, 2 Ag 2.87
Ag  0.6220  0.6220  0.9347  3 Al 2.76-2.78, 1 Ag 2.87

## Properties
Calculated volume ... 22.31 Å³/atom
Crystal system ... monoclinic
Magnetic moment ... 0.00 μB/cell
Formation enthalpy at 0 K ... -0.33 eV/atom
Space-group type ... C2/m (12)
Energy relative to the lowest polymorph listed for this composition ... 0 meV/atom

***

# 7
Density functional theory data (PBE) for YCr2Br after structural relaxation.

Lattice parameters (Å, degrees): 5.7291 5.7291 3.4291 90.00 90.00 119.83
With the nearest neighbours (Å) after each atom.
Sites, in units of the cell vectors:
Y  0.0000  0.0000  0.0000  2 Br 2.87
Cr  0.0000  0.5000  0.5000  2 Cr 2.87
Cr  0.5000  0.0000  0.5000  2 Cr 2.87
Br  0.5000  0.5000  0.0000  2 Y 2.87

## Properties
Calculated volume ... 24.41 Å³/atom
Crystal system ... orthorhombic
Magnetic moment ... 9.00 μB/cell
Space-group type ... Cmmm (65)
Energy relative to the lowest polymorph listed for this composition ... 532 meV/atom
ΔE_f (raw) ... 550 meV/atom

***

# 8
Density functional theory data (PBE) for LaCeNdN3 after structural relaxation.

Lattice parameters (Å, degrees): 6.6414 3.5065 10.3690 90.00 90.94 90.00
With the nearest neighbours (Å) after each atom.
Sites, in units of the cell vectors:
La  0.1836  0.2500  0.2341  6 N 2.53-2.79
La  0.8164  0.7500  0.7659  6 N 2.53-2.79
Ce  0.1969  0.2500  0.5841  4 N 2.30-2.37
Ce  0.8031  0.7500  0.4159  4 N 2.30-2.37
Nd  0.3284  0.7500  0.8980  5 N 2.39-2.54
Nd  0.6716  0.2500  0.1020  5 N 2.39-2.54
N  0.1070  0.2500  0.7977  1 Ce 2.30, 2 Nd 2.50
N  0.1581  0.7500  0.4424  3 Ce 2.30-2.37
N  0.3969  0.7500  0.1249  3 Nd 2.39-2.54, 2 La 2.53
N  0.6031  0.2500  0.8751  3 Nd 2.39-2.54, 2 La 2.53
N  0.8419  0.2500  0.5576  3 Ce 2.30-2.37
N  0.8930  0.7500  0.2023  1 Ce 2.30, 2 Nd 2.50

## Properties
Calculated volume ... 20.12 Å³/atom
Crystal system ... monoclinic
Magnetic moment ... 1.66 μB/cell
Space-group type ... P2_1/m (11)
ΔE_f (raw) ... -1173 meV/atom

***

# 9
Density functional theory data (PBE) for RbAuI3 after structural relaxation.

Lattice parameters (Å, degrees): 7.6183 7.0393 9.1431 90.00 102.12 90.00
With the nearest neighbours (Å) after each atom.
Sites, in units of the cell vectors:
Rb  0.1610  0.2500  0.2656  7 I 3.80-4.07, 2 Au 4.02
Rb  0.8390  0.7500  0.7344  7 I 3.80-4.07, 2 Au 4.02
Au  0.0991  0.2500  0.7582  3 I 2.62-2.70
Au  0.9009  0.7500  0.2418  3 I 2.62-2.70
I  0.1721  0.7500  0.1068  1 Au 2.62
I  0.2941  0.5141  0.6475  1 Au 2.70
I  0.2941  0.9859  0.6475  1 Au 2.70
I  0.7059  0.0141  0.3525  1 Au 2.70
I  0.7059  0.4859  0.3525  1 Au 2.70
I  0.8279  0.2500  0.8932  1 Au 2.62

## Properties
Calculated volume ... 47.94 Å³/atom
Crystal system ... monoclinic
Magnetic moment ... 0.00 μB/cell
Space-group type ... P2_1/m (11)
ΔE_f (raw) ... -588 meV/atom

***

# 10
Density functional theory data (PBE) for K2U3CdO12 after structural relaxation.

Lattice parameters (Å, degrees): 7.7582 7.7582 7.7582 63.27 63.27 63.27
With the nearest neighbours (Å) after each atom.
Sites, in units of the cell vectors:
K  0.1645  0.1645  0.1645  6 O 2.99-3.25
K  0.8355  0.8355  0.8355  6 O 2.99-3.25
U  0.0000  0.5000  0.5000  6 O 1.93-2.14
U  0.5000  0.0000  0.5000  6 O 1.93-2.14
U  0.5000  0.5000  0.0000  6 O 1.93-2.14
Cd  0.5000  0.5000  0.5000  6 O 2.30
O  0.1557  0.5758  0.5758  1 U 1.93
O  0.1924  0.1924  0.5567  2 U 2.14
O  0.1924  0.5567  0.1924  2 U 2.14
O  0.4242  0.4242  0.8443  1 U 1.93
O  0.4242  0.8443  0.4242  1 U 1.93
O  0.4433  0.8076  0.8076  2 U 2.14
O  0.5567  0.1924  0.1924  2 U 2.14
O  0.5758  0.1557  0.5758  1 U 1.93
O  0.5758  0.5758  0.1557  1 U 1.93
O  0.8076  0.4433  0.8076  2 U 2.14
O  0.8076  0.8076  0.4433  2 U 2.14
O  0.8443  0.4242  0.4242  1 U 1.93

## Properties
Calculated volume ... 19.67 Å³/atom
Crystal system ... trigonal
Magnetic moment ... 0.00 μB/cell
Space-group type ... R-3m (166)
ΔE_f (raw) ... -2439 meV/atom

***

Number 1: E -106.768 eV per cell. Number 2: E -10.485 eV per cell. Number 3: E -21.793 eV per cell. Number 4: E -28.712 eV per cell. Number 5: E -42.903 eV per cell. Number 6: E -27.855 eV per cell. Number 7: E -25.182 eV per cell. Number 8: E -95.286 eV per cell. Number 9: E -23.675 eV per cell. Number 10: E -140.366 eV per cell.